a:
# CsZnOs

A relaxed structure of CsZnOs (PBE-GGA, the Open Quantum Materials Database).

Cell lengths 4.783, 4.783, 4.783 Å; angles 60.00, 60.00, 60.00 degrees
Atoms (fractional coordinates):
1 Cs 0.250 0.250 0.250
2 Os 0.000 0.000 0.000
3 Zn 0.750 0.750 0.750

Calculated values
size of the total moment = 0.987 μB per formula unit

***

b:
# CsZnOs

A relaxed structure of CsZnOs (PBE-GGA, the Open Quantum Materials Database).

Cell lengths 5.862, 5.862, 5.862 Å; angles 60.00, 60.00, 60.00 degrees
Atoms (fractional coordinates):
1 Cs 0.000 0.000 0.000
2 Os 0.250 0.250 0.250
3 Zn 0.750 0.750 0.750

Calculated values
size of the total moment = 3.000 μB per formula unit

***

Relative energy of each structure, in eV/atom: a 0.000; b 0.554.

***

a:
# CsPa

A relaxed structure of CsPa (PBE-GGA, the Open Quantum Materials Database).

Cell lengths 3.362, 3.362, 7.314 Å; angles 90.00, 90.00, 120.00 degrees
Atoms (fractional coordinates):
1 Cs 0.667 0.334 0.750
2 Pa 0.333 0.666 0.250

Calculated values
size of the total moment = 0.655 μB per formula unit

***

b:
# CsPa

A relaxed structure of CsPa (PBE-GGA, the Open Quantum Materials Database).

Cell lengths 4.582, 4.582, 4.582 Å; angles 60.00, 60.00, 60.00 degrees
Each line ends with the local moment (μB).
Atoms (fractional coordinates):
1 Cs 0.000 0.000 0.000  0.09
2 Pa 0.500 0.500 0.500  1.47

Calculated values
size of the total moment = 2.071 μB per formula unit

***

Relative energy of each structure, in eV/atom: a 0.000; b 1.186.

***

a:
# CsPaPb

A relaxed structure of CsPaPb (PBE-GGA, the Open Quantum Materials Database).

Cell lengths 5.493, 5.493, 5.493 Å; angles 60.00, 60.00, 60.00 degrees
Atoms (fractional coordinates):
1 Cs 0.250 0.250 0.250
2 Pa 0.000 0.000 0.000
3 Pb 0.750 0.750 0.750

Calculated values
size of the total moment = 1.955 μB per formula unit

***

b:
# CsPaPb

A relaxed structure of CsPaPb (PBE-GGA, the Open Quantum Materials Database).

Cell lengths 5.430, 5.430, 5.430 Å; angles 60.00, 60.00, 60.00 degrees
Each line ends with the local moment (μB).
Atoms (fractional coordinates):
1 Cs 0.000 0.000 0.000  0.04
2 Pa 0.750 0.750 0.750  1.74
3 Pb 0.250 0.250 0.250  -0.07

Calculated values
size of the total moment = 1.992 μB per formula unit

***

Relative energy of each structure, in eV/atom: a 0.000; b 0.395.

***

a:
# CsPaPd

A relaxed structure of CsPaPd (PBE-GGA, the Open Quantum Materials Database).

Cell lengths 5.132, 5.132, 5.132 Å; angles 60.00, 60.00, 60.00 degrees
Each line ends with the local moment (μB).
Atoms (fractional coordinates):
1 Cs 0.250 0.250 0.250  0.03
2 Pa 0.750 0.750 0.750  1.48
3 Pd 0.000 0.000 0.000  -0.03

Calculated values
size of the total moment = 1.830 μB per formula unit

***

b:
# CsPaPd

A relaxed structure of CsPaPd (PBE-GGA, the Open Quantum Materials Database).

Cell lengths 4.889, 4.889, 4.889 Å; angles 60.00, 60.00, 60.00 degrees
Each line ends with the local moment (μB).
Atoms (fractional coordinates):
1 Cs 0.000 0.000 0.000  0.05
2 Pa 0.250 0.250 0.250  1.25
3 Pd 0.750 0.750 0.750  -0.02

Calculated values
size of the total moment = 1.639 μB per formula unit

***

Relative energy of each structure, in eV/atom: a 0.000; b 0.436.